A:
VASP calculation (PBE) on a geometry-optimized Co2TcH structure.

a = 3.931 Å, b = 3.931 Å, c = 3.931 Å
α = 60.00°, β = 60.00°, γ = 60.00°
Last column: magnetic moment on the atom in μB.
Element x y z (fractional)
H 0.000 0.000 0.000  0.00
Co 0.250 0.250 0.250  0.82
Co 0.750 0.750 0.750  0.82
Tc 0.500 0.500 0.500  0.40

Output
Fermi-level density of states = 1.89 states/eV/cell

B:
VASP calculation (PBE) on a geometry-optimized Co2TcH structure.

a = 2.641 Å, b = 2.641 Å, c = 6.486 Å
α = 78.22°, β = 78.22°, γ = 60.10°
Last column: magnetic moment on the atom in μB.
Element x y z (fractional)
Co 0.057 0.057 0.828  1.05
Co 0.277 0.277 0.170  1.14
Tc 0.500 0.500 0.501  -0.09
H 0.666 0.666 0.001  -0.01

Output
Fermi-level density of states = 2.96 states/eV/cell

Ordering by calculated energy gives the sequence B, A, with the first entry being the most stable.

A:
VASP calculation (PBE) on a geometry-optimized Co2TcH structure.

a = 5.116 Å, b = 5.116 Å, c = 4.704 Å
α = 57.05°, β = 57.05°, γ = 90.00°
Element x y z (fractional)
H 0.500 0.500 0.000
H 0.250 0.750 0.500
Co 0.487 0.125 0.250
Co 0.263 0.625 0.250
Co 0.375 0.513 0.750
Co 0.875 0.737 0.750
Tc 0.000 0.000 0.000
Tc 0.750 0.250 0.500

Output
Fermi-level density of states = 8.89 states/eV/cell

B:
VASP calculation (PBE) on a geometry-optimized Co2TcH structure.

a = 2.633 Å, b = 2.633 Å, c = 6.521 Å
α = 78.35°, β = 78.35°, γ = 60.00°
Last column: magnetic moment on the atom in μB.
Element x y z (fractional)
H 0.000 0.000 0.000  -0.01
Co 0.722 0.722 0.833  1.11
Co 0.278 0.278 0.167  1.11
Tc 0.500 0.500 0.500  -0.13

Output
Fermi-level density of states = 2.79 states/eV/cell

C:
VASP calculation (PBE) on a geometry-optimized Co2TcH structure.

a = 2.549 Å, b = 2.549 Å, c = 6.013 Å
α = 90.00°, β = 90.00°, γ = 90.00°
Last column: magnetic moment on the atom in μB.
Element x y z (fractional)
H 0.500 0.500 0.000  0.00
Co 0.000 0.000 0.809  0.66
Co 0.000 0.000 0.191  0.66
Tc 0.500 0.500 0.500  -0.04

Output
Fermi-level density of states = 4.70 states/eV/cell

Ordering by calculated energy gives the sequence B, C, A, with the first entry being the most stable.

A:
VASP calculation (PBE) on a geometry-optimized Ti2CoTcH structure.

a = 4.211 Å, b = 4.211 Å, c = 3.389 Å
α = 90.00°, β = 90.00°, γ = 90.00°
Element x y z (fractional)
H 0.000 0.000 0.000
Co 0.500 0.500 0.500
Tc 0.000 0.000 0.500
Ti 0.000 0.500 0.000
Ti 0.500 0.000 0.000

Output
Fermi-level density of states = 2.48 states/eV/cell

B:
VASP calculation (PBE) on a geometry-optimized Ti2CoTcH structure.

a = 4.249 Å, b = 4.249 Å, c = 3.236 Å
α = 90.00°, β = 90.00°, γ = 90.00°
Element x y z (fractional)
H 0.000 0.000 0.000
Co 0.000 0.000 0.500
Tc 0.500 0.500 0.500
Ti 0.000 0.500 0.000
Ti 0.500 0.000 0.000

Output
Fermi-level density of states = 2.24 states/eV/cell

Ordering by calculated energy gives the sequence B, A, with the first entry being the most stable.

A:
VASP calculation (PBE) on a geometry-optimized TiCo2TcH structure.

a = 3.679 Å, b = 3.679 Å, c = 3.874 Å
α = 90.00°, β = 90.00°, γ = 90.00°
Element x y z (fractional)
H 0.000 0.000 0.000
Co 0.000 0.500 0.000
Co 0.500 0.000 0.000
Tc 0.000 0.000 0.500
Ti 0.500 0.500 0.500

Output
Fermi-level density of states = 5.35 states/eV/cell

B:
VASP calculation (PBE) on a geometry-optimized TiCo2TcH structure.

a = 3.654 Å, b = 3.654 Å, c = 3.893 Å
α = 90.00°, β = 90.00°, γ = 90.00°
Element x y z (fractional)
H 0.000 0.000 0.000
Co 0.000 0.500 0.000
Co 0.500 0.000 0.000
Tc 0.500 0.500 0.500
Ti 0.000 0.000 0.500

Output
Fermi-level density of states = 3.25 states/eV/cell

Ordering by calculated energy gives the sequence B, A, with the first entry being the most stable.

A:
VASP calculation (PBE) on a geometry-optimized VCoTc2H structure.

a = 3.908 Å, b = 3.908 Å, c = 3.592 Å
α = 90.00°, β = 90.00°, γ = 90.00°
Element x y z (fractional)
H 0.000 0.000 0.000
Co 0.000 0.000 0.500
Tc 0.000 0.500 0.000
Tc 0.500 0.000 0.000
V 0.500 0.500 0.500

Output
Fermi-level density of states = 6.29 states/eV/cell

B:
VASP calculation (PBE) on a geometry-optimized VCoTc2H structure.

a = 3.826 Å, b = 3.826 Å, c = 3.774 Å
α = 90.00°, β = 90.00°, γ = 90.00°
Last column: magnetic moment on the atom in μB.
Element x y z (fractional)
H 0.000 0.000 0.000  0.00
Co 0.500 0.500 0.500  0.40
Tc 0.000 0.500 0.000  0.02
Tc 0.500 0.000 0.000  0.02
V 0.000 0.000 0.500  -0.06

Output
Fermi-level density of states = 4.20 states/eV/cell

Ordering by calculated energy gives the sequence A, B, with the first entry being the most stable.

A:
VASP calculation (PBE) on a geometry-optimized CoTcHW2 structure.

a = 3.951 Å, b = 3.951 Å, c = 3.831 Å
α = 90.00°, β = 90.00°, γ = 90.00°
Element x y z (fractional)
H 0.000 0.000 0.000
Co 0.500 0.500 0.500
Tc 0.000 0.000 0.500
W 0.000 0.500 0.000
W 0.500 0.000 0.000

Output
Fermi-level density of states = 4.02 states/eV/cell

B:
VASP calculation (PBE) on a geometry-optimized CoTcHW2 structure.

a = 4.003 Å, b = 4.003 Å, c = 3.695 Å
α = 90.00°, β = 90.00°, γ = 90.00°
Element x y z (fractional)
H 0.000 0.000 0.000
Co 0.000 0.000 0.500
Tc 0.500 0.500 0.500
W 0.000 0.500 0.000
W 0.500 0.000 0.000

Output
Fermi-level density of states = 2.97 states/eV/cell

Ordering by calculated energy gives the sequence B, A, with the first entry being the most stable.

A:
VASP calculation (PBE) on a geometry-optimized Zr2CoTcH structure.

a = 5.040 Å, b = 4.258 Å, c = 5.040 Å
α = 90.00°, β = 90.00°, γ = 90.00°
Element x y z (fractional)
H 0.500 0.500 0.500
Co 0.000 0.500 0.000
Tc 0.000 0.000 0.000
Zr 0.000 0.000 0.500
Zr 0.500 0.000 0.000

Output
Fermi-level density of states = 4.42 states/eV/cell

B:
VASP calculation (PBE) on a geometry-optimized Zr2CoTcH structure.

a = 4.539 Å, b = 4.539 Å, c = 3.493 Å
α = 90.00°, β = 90.00°, γ = 90.00°
Element x y z (fractional)
H 0.000 0.000 0.000
Co 0.500 0.500 0.500
Tc 0.000 0.000 0.500
Zr 0.000 0.500 0.000
Zr 0.500 0.000 0.000

Output
Fermi-level density of states = 3.25 states/eV/cell

C:
VASP calculation (PBE) on a geometry-optimized Zr2CoTcH structure.

a = 4.566 Å, b = 4.566 Å, c = 3.378 Å
α = 90.00°, β = 90.00°, γ = 90.00°
Element x y z (fractional)
H 0.000 0.000 0.000
Co 0.000 0.000 0.500
Tc 0.500 0.500 0.500
Zr 0.000 0.500 0.000
Zr 0.500 0.000 0.000

Output
Fermi-level density of states = 3.33 states/eV/cell

Ordering by calculated energy gives the sequence C, B, A, with the first entry being the most stable.

A:
VASP calculation (PBE) on a geometry-optimized Co2TeH structure.

a = 4.619 Å, b = 4.619 Å, c = 5.739 Å
α = 66.27°, β = 66.27°, γ = 90.00°
Last column: magnetic moment on the atom in μB.
Element x y z (fractional)
H 0.500 0.500 0.000  -0.01
H 0.250 0.750 0.500  -0.01
Te 0.000 0.000 0.000  -0.04
Te 0.750 0.250 0.500  -0.04
Co 0.473 0.125 0.250  0.60
Co 0.277 0.625 0.250  0.63
Co 0.375 0.527 0.750  0.65
Co 0.875 0.723 0.750  0.61

Output
Fermi-level density of states = 6.00 states/eV/cell

B:
VASP calculation (PBE) on a geometry-optimized Co2TeH structure.

a = 4.095 Å, b = 4.095 Å, c = 4.095 Å
α = 60.00°, β = 60.00°, γ = 60.00°
Last column: magnetic moment on the atom in μB.
Element x y z (fractional)
H 0.000 0.000 0.000  0.00
Te 0.500 0.500 0.500  0.00
Co 0.250 0.250 0.250  0.55
Co 0.750 0.750 0.750  0.55

Output
Fermi-level density of states = 2.21 states/eV/cell

Ordering by calculated energy gives the sequence A, B, with the first entry being the most stable.

A:
VASP calculation (PBE) on a geometry-optimized CoTeH3 structure.

a = 3.547 Å, b = 3.547 Å, c = 3.547 Å
α = 90.00°, β = 90.00°, γ = 90.00°
Last column: magnetic moment on the atom in μB.
Element x y z (fractional)
H 0.000 0.500 0.000  -0.01
H 0.000 0.000 0.500  -0.01
H 0.500 0.000 0.000  -0.01
Te 0.500 0.500 0.500  0.07
Co 0.000 0.000 0.000  0.40

Output
Fermi-level density of states = 2.21 states/eV/cell

B:
VASP calculation (PBE) on a geometry-optimized CoTeH3 structure.

a = 3.951 Å, b = 3.951 Å, c = 3.951 Å
α = 90.00°, β = 90.00°, γ = 90.00°
Last column: magnetic moment on the atom in μB.
Element x y z (fractional)
H 0.000 0.500 0.000  0.01
H 0.000 0.000 0.500  0.01
H 0.500 0.000 0.000  0.02
Te 0.000 0.000 0.000  0.04
Co 0.500 0.500 0.500  2.14

Output
Fermi-level density of states = 4.53 states/eV/cell

Ordering by calculated energy gives the sequence A, B, with the first entry being the most stable.

A:
VASP calculation (PBE) on a geometry-optimized ThCoH structure.

a = 3.548 Å, b = 5.840 Å, c = 5.664 Å
α = 78.93°, β = 71.35°, γ = 53.04°
Element x y z (fractional)
Th 0.682 0.421 0.343
Th 0.453 0.921 0.799
Co 0.731 0.921 0.246
Co 0.405 0.421 0.896
H 0.919 0.421 0.868
H 0.217 0.921 0.273

Output
Fermi-level density of states = 3.15 states/eV/cell

B:
VASP calculation (PBE) on a geometry-optimized ThCoH structure.

a = 3.744 Å, b = 3.744 Å, c = 4.397 Å
α = 115.19°, β = 115.19°, γ = 90.00°
Element x y z (fractional)
H 0.912 0.912 0.823
Co 0.695 0.695 0.391
Th 0.243 0.243 0.486

Output
Fermi-level density of states = 2.29 states/eV/cell

C:
VASP calculation (PBE) on a geometry-optimized ThCoH structure.

a = 5.058 Å, b = 5.631 Å, c = 12.844 Å
α = 90.00°, β = 90.00°, γ = 90.00°
Element x y z (fractional)
H 0.622 0.486 0.835
H 0.378 0.514 0.165
H 0.878 0.986 0.165
H 0.378 0.014 0.335
H 0.122 0.014 0.835
H 0.622 0.986 0.665
H 0.122 0.514 0.665
H 0.878 0.486 0.335
Co 0.138 0.369 0.554
Co 0.862 0.631 0.446
Co 0.362 0.869 0.446
Co 0.862 0.131 0.054
Co 0.638 0.131 0.554
Co 0.138 0.869 0.946
Co 0.638 0.631 0.946
Co 0.362 0.369 0.054
Th 0.618 0.033 0.863
Th 0.382 0.967 0.137
Th 0.882 0.533 0.137
Th 0.382 0.467 0.363
Th 0.118 0.467 0.863
Th 0.618 0.533 0.637
Th 0.118 0.967 0.637
Th 0.882 0.033 0.363

Output
Fermi-level density of states = 12.78 states/eV/cell

D:
VASP calculation (PBE) on a geometry-optimized ThCoH structure.

a = 3.508 Å, b = 3.837 Å, c = 3.837 Å
α = 120.00°, β = 90.00°, γ = 90.00°
Element x y z (fractional)
H 0.166 0.667 0.333
Co 0.167 0.000 0.000
Th 0.667 0.333 0.667

Output
Fermi-level density of states = 1.21 states/eV/cell

Ordering by calculated energy gives the sequence A, C, B, D, with the first entry being the most stable.

A:
VASP calculation (PBE) on a geometry-optimized TiCo2H structure.

a = 4.893 Å, b = 4.893 Å, c = 4.880 Å
α = 59.91°, β = 59.91°, γ = 90.00°
Element x y z (fractional)
H 0.500 0.500 0.000
H 0.250 0.750 0.500
Co 0.449 0.125 0.250
Co 0.301 0.625 0.250
Co 0.375 0.551 0.750
Co 0.875 0.699 0.750
Ti 0.000 0.000 0.000
Ti 0.750 0.250 0.500

Output
Fermi-level density of states = 5.05 states/eV/cell

B:
VASP calculation (PBE) on a geometry-optimized TiCo2H structure.

a = 2.629 Å, b = 2.629 Å, c = 6.973 Å
α = 79.13°, β = 79.13°, γ = 60.00°
Last column: magnetic moment on the atom in μB.
Element x y z (fractional)
H 0.500 0.500 0.500  -0.01
Co 0.115 0.115 0.654  1.13
Co 0.885 0.885 0.346  1.13
Ti 0.000 0.000 0.000  -0.13

Output
Fermi-level density of states = 4.31 states/eV/cell

Ordering by calculated energy gives the sequence A, B, with the first entry being the most stable.

A:
VASP calculation (PBE) on a geometry-optimized TiVCo2H structure.

a = 3.680 Å, b = 3.680 Å, c = 3.787 Å
α = 90.00°, β = 90.00°, γ = 90.00°
Last column: magnetic moment on the atom in μB.
Element x y z (fractional)
H 0.000 0.000 0.000  0.00
Ti 0.000 0.000 0.500  0.06
Co 0.000 0.500 0.000  0.01
Co 0.500 0.000 0.000  0.01
V 0.500 0.500 0.500  0.23

Output
Fermi-level density of states = 4.79 states/eV/cell

B:
VASP calculation (PBE) on a geometry-optimized TiVCo2H structure.

a = 3.702 Å, b = 3.702 Å, c = 3.743 Å
α = 90.00°, β = 90.00°, γ = 90.00°
Last column: magnetic moment on the atom in μB.
Element x y z (fractional)
H 0.000 0.000 0.000  0.00
Ti 0.500 0.500 0.500  0.11
Co 0.000 0.500 0.000  0.02
Co 0.500 0.000 0.000  0.02
V 0.000 0.000 0.500  0.30

Output
Fermi-level density of states = 4.93 states/eV/cell

Ordering by calculated energy gives the sequence B, A, with the first entry being the most stable.